Entry 1:
Entry from Alexandria: crystalline Y12AlCo5 at its relaxed geometry (PBE-GGA).

Cell: 8.2903 8.2903 8.2903 Å, 110.67 110.67 107.10°
Closest atoms and distances in Å follow each position.
Element x y z (fractional)
Y (0.0124, 0.8152, 0.1972)  3 Co 2.73-2.84
Y (0.2116, 0.5197, 0.3081)  2 Co 2.73-2.76
Y (0.2116, 0.9036, 0.6919)  2 Co 2.73-2.76
Y (0.2921, 0.3130, 0.6051)  2 Co 2.86
Y (0.2921, 0.6870, 0.9792)  2 Co 2.86
Y (0.3821, 0.1848, 0.1972)  3 Co 2.73-2.84
Y (0.6179, 0.8152, 0.8028)  3 Co 2.73-2.84
Y (0.7079, 0.3130, 0.0208)  2 Co 2.86
Y (0.7079, 0.6870, 0.3949)  2 Co 2.86
Y (0.7884, 0.0964, 0.3081)  2 Co 2.73-2.76
Y (0.7884, 0.4803, 0.6919)  2 Co 2.73-2.76
Y (0.9876, 0.1848, 0.8028)  3 Co 2.73-2.84
Al (0.5000, 0.0000, 0.5000)  12 Y 3.37-3.54
Co (0.0000, 0.1204, 0.1204)  1 Co 2.27
Co (0.0000, 0.5000, 0.5000)  4 Y 2.76
Co (0.0000, 0.8796, 0.8796)  1 Co 2.27
Co (0.3882, 0.3882, 0.0000)  1 Co 2.20
Co (0.6118, 0.6118, 0.0000)  1 Co 2.20

Results
As for the density of states at the Fermi level: 0.818 states/eV/atom. The total DFT energy (no corrections) comes out at -120.6 eV per cell. The calculation puts the formation energy at -3.8 eV/f.u. Its space group is Immm, No. 71.

***

Entry 2:
Entry from Alexandria: crystalline Y3Al3Co at its relaxed geometry (PBE-GGA).

Cell: 5.9850 5.9850 15.1771 Å, 105.78 105.78 36.54°
Closest atoms and distances in Å follow each position.
Element x y z (fractional)
Y (0.0207, 0.0207, 0.3885)  2 Co 2.91, 5 Al 3.04-3.24
Y (0.1245, 0.1245, 0.9210)  7 Al 3.07-3.16
Y (0.2412, 0.2412, 0.2444)  2 Co 2.82, 2 Al 3.07
Y (0.7588, 0.7588, 0.7556)  2 Co 2.82, 2 Al 3.07
Y (0.8755, 0.8755, 0.0790)  7 Al 3.07-3.16
Y (0.9793, 0.9793, 0.6115)  2 Co 2.91, 5 Al 3.04-3.24
Al (0.3180, 0.3180, 0.4623)  3 Co 2.42-2.58
Al (0.4020, 0.4020, 0.9236)  2 Al 2.72
Al (0.4775, 0.4775, 0.7690)  1 Co 2.58, 1 Al 2.72
Al (0.5225, 0.5225, 0.2310)  1 Co 2.58, 1 Al 2.72
Al (0.5980, 0.5980, 0.0764)  2 Al 2.72
Al (0.6820, 0.6820, 0.5377)  3 Co 2.42-2.58
Co (0.2900, 0.2900, 0.6252)  4 Al 2.42-2.58
Co (0.7100, 0.7100, 0.3748)  4 Al 2.42-2.58

Results
As for the density of states at the Fermi level: 0.840 states/eV/atom. The total DFT energy (no corrections) comes out at -81.4 eV per cell. The calculation puts the formation energy at -3.0 eV/f.u. Its space group is C2/m, No. 12.